1.
The following is a DFT calculation (PBE) of a geometry-optimized ZnSnH3 structure.

Cell: 4.0709 4.0709 4.0709 Å, 90.00 90.00 90.00°
With the nearest neighbours (Å) after each atom.
Sites, in units of the cell vectors:
H1 0.0000 0.5000 0.0000  2 Sn 2.04
H2 0.0000 0.0000 0.5000  2 Sn 2.04
H3 0.5000 0.0000 0.0000  2 Sn 2.04
Zn1 0.5000 0.5000 0.5000  12 H 2.88
Sn1 0.0000 0.0000 0.0000  6 H 2.04

Energy above the most stable polymorph in this dataset   0.046 eV per atom
Uncorrected energy   -2.58 eV per atom
Total magnetic moment   0.00 Bohr magnetons per cell
Fermi-level density of states   0.61 states/eV per cell



2.
The following is a DFT calculation (PBE) of a geometry-optimized ZnSnH structure.

Cell: 2.9992 2.9992 13.2207 Å, 89.95 88.91 90.00°
With the nearest neighbours (Å) after each atom.
Sites, in units of the cell vectors:
Zn1 0.3829 0.8495 0.1215  8 Zn 2.70-3.00, 2 Sn 2.88-2.89
Zn2 0.8944 0.3514 0.9950  8 Zn 2.70-3.00, 2 Sn 2.88-2.89
Sn1 0.9102 0.8554 0.8085  2 Zn 2.88-2.89, 4 Sn 3.00
Sn2 0.8651 0.8577 0.3080  2 Zn 2.88-2.89, 4 Sn 3.00
H1 0.3367 0.3618 0.5295  1 H 0.75
H2 0.3376 0.3671 0.5864  1 H 0.75

Energy above the most stable polymorph in this dataset   0.000 eV per atom
Uncorrected energy   -2.80 eV per atom
Total magnetic moment   0.00 Bohr magnetons per cell
Fermi-level density of states   1.94 states/eV per cell



3.
The following is a DFT calculation (PBE) of a geometry-optimized ZnSnH structure.

Cell: 3.3612 3.3618 11.1105 Å, 97.50 97.32 93.71°
With the nearest neighbours (Å) after each atom.
Sites, in units of the cell vectors:
Zn1 0.2768 0.7772 0.0589  4 Zn 2.63-2.77, 2 Sn 2.91
Zn2 0.7232 0.2228 0.9411  4 Zn 2.63-2.77, 2 Sn 2.91
Sn1 0.1487 0.6473 0.7772  5 Zn 2.91-3.07
Sn2 0.8513 0.3527 0.2228  5 Zn 2.91-3.07
H1 0.4795 0.9920 0.5322  1 H 0.75
H2 0.5205 0.0080 0.4678  1 H 0.75

Energy above the most stable polymorph in this dataset   0.007 eV per atom
Uncorrected energy   -2.79 eV per atom
Total magnetic moment   0.00 Bohr magnetons per cell
Fermi-level density of states   0.91 states/eV per cell



4.
The following is a DFT calculation (PBE) of a geometry-optimized ZnSn2H structure.

Cell: 4.9137 4.9137 8.0174 Å, 72.16 72.16 90.00°
With the nearest neighbours (Å) after each atom.
Sites, in units of the cell vectors:
H1 0.5000 0.5000 0.0000  4 Sn 2.34
H2 0.2500 0.7500 0.5000  4 Sn 2.34
Zn1 0.0000 0.0000 0.0000  4 Sn 2.71
Zn2 0.7500 0.2500 0.5000  4 Sn 2.71
Sn1 0.5474 0.1250 0.2500  2 H 2.34
Sn2 0.2026 0.6250 0.2500  2 H 2.34
Sn3 0.3750 0.4526 0.7500  2 H 2.34
Sn4 0.8750 0.7974 0.7500  2 H 2.34

Energy above the most stable polymorph in this dataset   0.000 eV per atom
Uncorrected energy   -2.80 eV per atom
Total magnetic moment   0.00 Bohr magnetons per cell
Fermi-level density of states   3.68 states/eV per cell



5.
The following is a DFT calculation (PBE) of a geometry-optimized Zn2SnH structure.

Cell: 4.5608 4.5608 4.5608 Å, 60.00 60.00 60.00°
With the nearest neighbours (Å) after each atom.
Sites, in units of the cell vectors:
H1 0.0000 0.0000 0.0000  8 Zn 2.79
Zn1 0.2500 0.2500 0.2500  4 Sn 2.79, 4 H 2.79
Zn2 0.7500 0.7500 0.7500  4 Sn 2.79, 4 H 2.79
Sn1 0.5000 0.5000 0.5000  8 Zn 2.79

Energy above the most stable polymorph in this dataset   0.303 eV per atom
Uncorrected energy   -1.95 eV per atom
Total magnetic moment   0.07 Bohr magnetons per cell
Fermi-level density of states   2.17 states/eV per cell



6.
The following is a DFT calculation (PBE) of a geometry-optimized ZnSnH structure.

Cell: 3.0640 4.0831 10.7470 Å, 98.51 95.52 102.60°
With the nearest neighbours (Å) after each atom.
Sites, in units of the cell vectors:
Zn1 0.4683 0.7515 0.8813  3 Zn 2.60-2.81, 2 Sn 2.79-2.85
Zn2 0.9394 0.3416 0.0025  3 Zn 2.60-2.81, 2 Sn 2.79-2.86
Sn1 0.5857 0.8937 0.1602  4 Zn 2.79-3.07, 2 Sn 3.06
Sn2 0.8282 0.1979 0.7236  4 Zn 2.79-3.08, 2 Sn 3.06
H1 0.2682 0.5326 0.4065  1 H 0.75
H2 0.2911 0.5301 0.4769  1 H 0.75

Energy above the most stable polymorph in this dataset   0.040 eV per atom
Uncorrected energy   -2.76 eV per atom
Total magnetic moment   0.00 Bohr magnetons per cell
Fermi-level density of states   2.72 states/eV per cell



7.
The following is a DFT calculation (PBE) of a geometry-optimized ZnSnH structure.

Cell: 3.9147 3.9147 4.9294 Å, 113.40 113.40 90.00°
With the nearest neighbours (Å) after each atom.
Sites, in units of the cell vectors:
H1 0.9470 0.9470 0.8939  1 Zn 1.77, 1 Sn 1.85
Zn1 0.7295 0.7295 0.4590  1 H 1.77
Sn1 0.1735 0.1735 0.3470  1 H 1.85

Energy above the most stable polymorph in this dataset   0.149 eV per atom
Uncorrected energy   -2.65 eV per atom
Total magnetic moment   0.00 Bohr magnetons per cell
Fermi-level density of states   0.64 states/eV per cell



8.
The following is a DFT calculation (PBE) of a geometry-optimized ZnSnH3 structure.

Cell: 3.8044 3.8044 3.8044 Å, 90.00 90.00 90.00°
With the nearest neighbours (Å) after each atom.
Sites, in units of the cell vectors:
H1 0.0000 0.5000 0.0000  2 Zn 1.90
H2 0.0000 0.0000 0.5000  2 Zn 1.90
H3 0.5000 0.0000 0.0000  2 Zn 1.90
Zn1 0.0000 0.0000 0.0000  6 H 1.90
Sn1 0.5000 0.5000 0.5000  12 H 2.69

Energy above the most stable polymorph in this dataset   0.000 eV per atom
Uncorrected energy   -2.63 eV per atom
Total magnetic moment   0.00 Bohr magnetons per cell
Fermi-level density of states   1.11 states/eV per cell



9.
The following is a DFT calculation (PBE) of a geometry-optimized ZnSn2H structure.

Cell: 4.7262 4.7262 4.7262 Å, 60.00 60.00 60.00°
With the nearest neighbours (Å) after each atom.
Sites, in units of the cell vectors:
H1 0.0000 0.0000 0.0000  8 Sn 2.89
Zn1 0.5000 0.5000 0.5000  8 Sn 2.89
Sn1 0.2500 0.2500 0.2500  4 H 2.89, 4 Zn 2.89
Sn2 0.7500 0.7500 0.7500  4 Zn 2.89, 4 H 2.89

Energy above the most stable polymorph in this dataset   0.015 eV per atom
Uncorrected energy   -2.79 eV per atom
Total magnetic moment   0.00 Bohr magnetons per cell
Fermi-level density of states   1.59 states/eV per cell



10.
The following is a DFT calculation (PBE) of a geometry-optimized ZrZn2SnH structure.

Cell: 4.3335 4.3335 4.1452 Å, 90.00 90.00 90.00°
With the nearest neighbours (Å) after each atom.
Sites, in units of the cell vectors:
H1 0.0000 0.0000 0.0000  2 Zr 2.07, 4 Zn 2.17
Zn1 0.0000 0.5000 0.0000  2 H 2.17
Zn2 0.5000 0.0000 0.0000  2 H 2.17
Sn1 0.5000 0.5000 0.5000  8 Zn 3.00, 4 Zr 3.06
Zr1 0.0000 0.0000 0.5000  2 H 2.07

Uncorrected energy   -3.82 eV per atom
Total magnetic moment   0.00 Bohr magnetons per cell
Fermi-level density of states   2.38 states/eV per cell



11.
The following is a DFT calculation (PBE) of a geometry-optimized Zr2SnH3 structure.

Cell: 3.3490 6.8165 7.3490 Å, 109.07 90.00 104.22°
With the nearest neighbours (Å) after each atom.
Sites, in units of the cell vectors:
Zr1 0.4727 0.9454 0.7536  4 H 2.00-2.14
Zr2 0.5273 0.0546 0.2464  4 H 2.00-2.14
Zr3 0.8120 0.6241 0.3484  6 H 2.03-2.19
Zr4 0.1880 0.3759 0.6516  6 H 2.03-2.19
Sn1 0.8507 0.7015 0.9582  7 Zr 3.04-3.08, 6 H 3.19-3.38, 4 Sn 3.35-3.37
Sn2 0.1493 0.2985 0.0418  7 Zr 3.04-3.08, 6 H 3.19-3.38, 4 Sn 3.35-3.37
H1 0.3149 0.6299 0.5413  5 H 2.09-2.33, 4 Zr 2.10-2.19
H2 0.9420 0.8841 0.5947  3 Zr 2.00-2.03
H3 0.5995 0.1991 0.6512  3 Zr 2.04-2.06, 1 H 2.09
H4 0.4005 0.8009 0.3488  3 Zr 2.04-2.06, 1 H 2.09
H5 0.0580 0.1159 0.4053  3 Zr 2.00-2.03
H6 0.6851 0.3701 0.4587  5 H 2.09-2.33, 4 Zr 2.10-2.19

Uncorrected energy   -5.64 eV per atom
Total magnetic moment   0.00 Bohr magnetons per cell
Fermi-level density of states   3.90 states/eV per cell



12.
The following is a DFT calculation (PBE) of a geometry-optimized ZrSn3H structure.

Cell: 5.5745 5.5745 5.5745 Å, 90.00 90.00 90.00°
With the nearest neighbours (Å) after each atom.
Sites, in units of the cell vectors:
H1 0.5000 0.5000 0.5000  12 Sn 3.94
Sn1 0.0000 0.5000 0.0000  2 Zr 2.79
Sn2 0.0000 0.0000 0.5000  2 Zr 2.79
Sn3 0.5000 0.0000 0.0000  2 Zr 2.79
Zr1 0.0000 0.0000 0.0000  6 Sn 2.79

Energy above the most stable polymorph in this dataset   0.604 eV per atom
Uncorrected energy   -4.06 eV per atom
Total magnetic moment   1.01 Bohr magnetons per cell
Fermi-level density of states   2.03 states/eV per cell